(1)
DFT (PBE) results for CuOsNF2 after structural relaxation.

Output
ΔE_f (raw), eV/atom: 0.66
SG: P4/mmm, No. 123

Cell: 3.4741 3.4741 5.8856 Å, 90.00 90.00 90.00°
Last column: nearest neighbours and their distance in Å.
Element x y z (fractional)
1 Cu 0.0000 0.0000 0.0000  4 F 1.74
2 Os 0.5000 0.5000 0.5000  4 N 2.46
3 N 0.0000 0.0000 0.5000  4 Os 2.46
4 F 0.0000 0.5000 0.0000  2 Cu 1.74
5 F 0.5000 0.0000 0.0000  2 Cu 1.74

***

(2)
DFT (PBE) results for CaCuP2 after structural relaxation.

Output
SG: P4/mmm, No. 123
ΔH_f (0 K), eV per atom: -0.1579

Cell: 4.2045 4.2045 3.8328 Å, 90.00 90.00 90.00°
Last column: nearest neighbours and their distance in Å.
Element x y z (fractional)
1 Ca 0.0000 0.0000 0.0000  8 P 2.84, 4 Cu 2.97
2 Cu 0.5000 0.5000 0.0000  8 P 2.84, 4 Ca 2.97
3 P 0.0000 0.5000 0.5000  4 Ca 2.84, 4 Cu 2.84, 4 P 2.97
4 P 0.5000 0.0000 0.5000  4 Ca 2.84, 4 Cu 2.84, 4 P 2.97

***

(3)
DFT (PBE) results for LiCuSbP2 after structural relaxation.

Output
ΔE_f (raw), eV/atom: 0.33
SG: P4/mmm, No. 123

Cell: 4.5828 4.5828 4.4271 Å, 90.00 90.00 90.00°
Last column: nearest neighbours and their distance in Å.
Element x y z (fractional)
1 Li 0.0000 0.0000 0.0000  2 Cu 2.21
2 Cu 0.0000 0.0000 0.5000  2 Li 2.21, 4 P 2.29
3 Sb 0.5000 0.5000 0.0000  8 P 3.19, 4 Li 3.24
4 P 0.0000 0.5000 0.5000  2 Cu 2.29
5 P 0.5000 0.0000 0.5000  2 Cu 2.29

***

(4)
DFT (PBE) results for ZrTiHRu2 after structural relaxation.

Output
E_tot, eV/cell: -40.0
SG: P4/mmm, No. 123

Cell: 4.3305 4.3305 3.5917 Å, 90.00 90.00 90.00°
Last column: nearest neighbours and their distance in Å.
Element x y z (fractional)
1 Zr 0.0000 0.0000 0.0000  8 Ru 2.81, 4 Ti 3.06
2 Ti 0.5000 0.5000 0.0000  2 H 1.80
3 H 0.5000 0.5000 0.5000  2 Ti 1.80
4 Ru 0.0000 0.5000 0.5000  2 H 2.17
5 Ru 0.5000 0.0000 0.5000  2 H 2.17

***

| no. | M_tot (μB/cell) |
| --- | --- |
| 1 | 3.4 |
| 2 | 0.0 |
| 3 | 0.0 |
| 4 | 0.0 |